The following is a PBE with a Hubbard U calculation of crystalline SrMn2F at its relaxed geometry, from Alexandria via LeMat-Bulk.

Output
**Total moment**: 9.7 μB/f.u.
**Polymorph energy (0 for the lowest one)**: 0.859 eV/atom

Lattice parameters (Å, degrees): 5.401 5.401 5.401 60.00 60.00 60.00
Last column: magnetic moment on the atom in μB.
Element x y z (fractional)
Sr1 0.500 0.500 0.500  -0.04
Mn1 0.250 0.250 0.250  4.63
Mn2 0.750 0.750 0.750  4.63
F1 0.000 0.000 0.000  0.04